DFT (PBE) results for TbFeC2 after structural relaxation.

Cell: 3.373 3.373 4.930 Å, 69.99 69.99 60.00°
Each line ends with the local moment (μB).
Sites, in units of the cell vectors:
Tb1 0.500 0.500 0.500  -0.01
Fe1 0.000 0.000 0.000  0.09
C1 0.284 0.284 0.149  0.00
C2 0.716 0.716 0.851  0.00

Properties
- V (A^3/atom) = 11.15
- formation enthalpy at 0 K (meV/atom) = 302
- space-group type = R-3m
- ρ (g cm⁻³) = 8.89



DFT (PBE) results for K3BaSc after structural relaxation.

Cell: 7.083 7.083 7.083 Å, 90.00 90.00 90.00°
Each line ends with the local moment (μB).
Sites, in units of the cell vectors:
K1 0.000 0.000 0.500  0.04
K2 0.500 0.000 0.000  0.04
K3 0.000 0.500 0.000  0.04
Ba1 0.000 0.000 0.000  0.39
Sc1 0.500 0.500 0.500  0.97

Properties
- V (A^3/atom) = 71.07
- formation enthalpy at 0 K (meV/atom) = 1107
- excess energy over the best structure of this formula in the dataset (eV/atom) = 0.370
- space-group type = Pm-3m
- ρ (g cm⁻³) = 1.40



DFT (PBE) results for Sm2Ga4Pd3Ru after structural relaxation.

Cell: 4.331 4.331 10.117 Å, 90.00 90.00 90.00°
Sites, in units of the cell vectors:
Pd1 0.500 0.000 0.870
Pd2 0.000 0.500 0.130
Pd3 0.000 0.000 0.500
Sm1 0.500 0.000 0.261
Sm2 0.000 0.500 0.739
Ga1 0.000 0.500 0.375
Ga2 0.000 0.000 0.000
Ga3 0.500 0.000 0.625
Ga4 0.500 0.500 0.000
Ru1 0.500 0.500 0.500

Properties
- V (A^3/atom) = 18.98
- formation enthalpy at 0 K (meV/atom) = -726
- space-group type = P-4m2
- ρ (g cm⁻³) = 8.75



DFT (PBE) results for GaSiH2 after structural relaxation.

Cell: 2.777 4.410 4.763 Å, 90.00 90.61 90.00°
Sites, in units of the cell vectors:
H1 0.679 0.000 0.701
H2 0.164 0.500 0.947
Si1 0.170 0.500 0.262
Ga1 0.176 0.000 0.471

Properties
- V (A^3/atom) = 14.58
- excess energy over the best structure of this formula in the dataset (eV/atom) = 0.077
- space-group type = Pm
- ρ (g cm⁻³) = 2.84



DFT (PBE) results for LiSc2Rh after structural relaxation.

Cell: 3.370 4.588 4.588 Å, 90.00 90.00 90.00°
Sites, in units of the cell vectors:
Rh1 0.500 0.500 0.500
Li1 0.500 0.000 0.000
Sc1 0.000 0.000 0.500
Sc2 0.000 0.500 0.000

Properties
- V (A^3/atom) = 17.73
- formation enthalpy at 0 K (meV/atom) = -465
- space-group type = P4/mmm
- ρ (g cm⁻³) = 4.68



DFT (PBE) results for CaFe3Pb after structural relaxation.

Cell: 4.976 4.976 4.976 Å, 90.00 90.00 90.00°
Each line ends with the local moment (μB).
Sites, in units of the cell vectors:
Fe1 0.000 0.500 0.000  2.91
Fe2 0.500 0.000 0.000  2.72
Fe3 0.000 0.000 0.500  2.92
Ca1 0.500 0.500 0.500  -0.10
Pb1 0.000 0.000 0.000  -0.07

Properties
- V (A^3/atom) = 24.64
- formation enthalpy at 0 K (meV/atom) = 1156
- excess energy over the best structure of this formula in the dataset (eV/atom) = 0.000
- space-group type = Pm-3m
- ρ (g cm⁻³) = 5.59



DFT (PBE) results for ZrSiBi after structural relaxation.

Cell: 3.850 3.850 8.826 Å, 90.00 90.00 90.00°
Sites, in units of the cell vectors:
Bi1 0.000 0.500 0.385
Bi2 0.500 0.000 0.615
Zr1 0.000 0.500 0.766
Zr2 0.500 0.000 0.234
Si1 0.000 0.000 0.000
Si2 0.500 0.500 0.000

Properties
- electronic total energy (eV/atom) = -6.349
- V (A^3/atom) = 21.80
- space-group type = P4/nmm
- ρ (g cm⁻³) = 8.34



DFT (PBE) results for InIO2F after structural relaxation.

Cell: 4.324 4.324 4.186 Å, 90.00 90.00 90.00°
Sites, in units of the cell vectors:
O1 0.000 0.500 0.000
O2 0.500 0.000 0.000
In1 0.000 0.000 0.000
I1 0.500 0.500 0.500
F1 0.000 0.000 0.500

Properties
- electronic total energy (eV/atom) = -3.875
- V (A^3/atom) = 15.66
- space-group type = P4/mmm
- ρ (g cm⁻³) = 6.21